Entry 1:
Density functional theory data (PBE-GGA) for a geometry-optimized KZn4B3O9 structure.

Cell lengths 6.8312, 4.9928, 12.4380 Å; angles 90.00, 92.02, 90.00 degrees
Last column: nearest neighbours and their distance in Å.
Space group P2/c (No. 13)
One atom of each set of equivalent atoms:
1 K 0.0000 0.2089 0.2500 x2  6 O 2.82-3.11
2 Zn 0.2032 0.3369 0.5615 x4  4 O 1.92-2.00
3 Zn 0.4881 0.1553 0.1223 x4  4 O 1.94-1.97
4 B 0.1867 0.1539 0.9462 x4  3 O 1.35-1.41
5 B 0.5000 0.3409 0.7500 x2  3 O 1.38
6 O 0.0469 0.2627 0.8802 x4  1 B 1.35
7 O 0.2490 0.1126 0.4314 x4  1 B 1.41
8 O 0.2719 0.2932 0.0328 x4  1 B 1.39
9 O 0.4048 0.2038 0.6678 x4  1 B 1.38
10 O 0.5000 0.3826 0.2500 x2  1 B 1.38

## Properties
Its raw total energy is -6.110 eV/atom.



Entry 2:
Density functional theory data (PBE-GGA) for a geometry-optimized K3ZnB5O10 structure.

Cell lengths 7.6054, 19.0120, 8.0273 Å; angles 90.00, 121.45, 90.00 degrees
Last column: nearest neighbours and their distance in Å.
Space group P2_1/c (No. 14)
One atom of each set of equivalent atoms:
1 K 0.1545 0.0797 0.0106 x4  5 O 2.63-2.82
2 K 0.1724 0.0631 0.4627 x4  6 O 2.63-2.94
3 K 0.2561 0.7456 0.2211 x4  6 O 2.54-2.77
4 Zn 0.3322 0.6035 0.0069 x4  4 O 1.97-2.01
5 B 0.0744 0.1967 0.6923 x4  3 O 1.33-1.42
6 B 0.3214 0.5752 0.6600 x4  3 O 1.35-1.42
7 B 0.3227 0.5768 0.3530 x4  3 O 1.35-1.42
8 B 0.3378 0.2099 0.3259 x4  3 O 1.34-1.43
9 B 0.4475 0.1615 0.8746 x4  4 O 1.47
10 O 0.1242 0.6791 0.8948 x4  1 B 1.33
11 O 0.1268 0.2307 0.2184 x4  2 B 1.42-1.43
12 O 0.2259 0.1461 0.7577 x4  2 B 1.38-1.47
13 O 0.2425 0.5505 0.4662 x4  2 B 1.42
14 O 0.2493 0.5518 0.1716 x4  1 B 1.35
15 O 0.2568 0.5444 0.7705 x4  1 B 1.35
16 O 0.3844 0.1412 0.3508 x4  1 B 1.34
17 O 0.4534 0.6317 0.7252 x4  2 B 1.37-1.47
18 O 0.4684 0.6294 0.4310 x4  2 B 1.38-1.47
19 O 0.4841 0.2375 0.8979 x4  2 B 1.38-1.47

## Properties
Its raw total energy is -6.882 eV/atom.



Entry 3:
Density functional theory data (PBE-GGA) for a geometry-optimized KBOs structure.

Cell lengths 6.6628, 6.6628, 6.6628 Å; angles 90.00, 90.00, 90.00 degrees
Last column: nearest neighbours and their distance in Å.
Space group F-43m (No. 216)
One atom of each set of equivalent atoms:
1 K 0.0000 0.0000 0.0000 x4  4 Os 2.89, 4 B 2.89
2 B 0.2500 0.2500 0.7500 x4  4 K 2.89
3 Os 0.2500 0.2500 0.2500 x4  4 K 2.89

## Properties
Its relative energy among the computed polymorphs is 1357 meV/atom. Its raw total energy is -2.888 eV/atom.



Entry 4:
Density functional theory data (PBE-GGA) for a geometry-optimized KBOs structure.

Cell lengths 5.8642, 5.8642, 5.8642 Å; angles 90.00, 90.00, 90.00 degrees
Last column: nearest neighbours and their distance in Å.
Space group F-43m (No. 216)
One atom of each set of equivalent atoms:
1 K 0.0000 0.0000 0.0000 x4  4 Os 2.54
2 B 0.0000 0.0000 0.5000 x4  4 Os 2.54
3 Os 0.2500 0.2500 0.7500 x4  4 K 2.54, 4 B 2.54

## Properties
Its relative energy among the computed polymorphs is 111 meV/atom. Its raw total energy is -4.134 eV/atom.